Record 1
## K2TlAgCl6 (GGA-PBE)

Data for K2TlAgCl6 after structural relaxation.

Computed properties:
Space-group type = P2_1/c, No. 14
Formation energy from raw total energies = -1181 meV per atom
Crystal system = monoclinic
Offset from the most stable computed form = 0.000 eV/atom

The structure in POSCAR format:
```
K2TlAgCl6
1.0
7.2490 0.0000 0.0000
0.0000 7.5635 0.0000
-7.2037 0.0000 10.3374
K Tl Ag Cl
4 2 2 12
Direct
0.2283 0.0707 0.2498
0.2283 0.4293 0.7498
0.7717 0.5707 0.2502
0.7717 0.9293 0.7502
0.5000 0.0000 0.0000
0.5000 0.5000 0.5000
0.0000 0.0000 0.5000
0.0000 0.5000 0.0000
0.1574 0.1961 0.9537
0.1574 0.3039 0.4537
0.2603 0.7063 0.9550
0.2603 0.7937 0.4550
0.3422 0.0192 0.7508
0.3422 0.4808 0.2508
0.6578 0.5192 0.7492
0.6578 0.9808 0.2492
0.7397 0.2063 0.5450
0.7397 0.2937 0.0450
0.8426 0.6961 0.5463
0.8426 0.8039 0.0463
```


Record 2
## KTl3Ag2Cl6 (GGA-PBE)

Data for KTl3Ag2Cl6 after structural relaxation.

Computed properties:
Space-group type = C2/m, No. 12
Formation energy from raw total energies = -958 meV per atom
Crystal system = monoclinic

The structure in POSCAR format:
```
KTl3Ag2Cl6
1.0
9.3490 -2.2604 0.0000
9.3490 2.2604 0.0000
-2.4016 0.0000 8.4577
K Tl Ag Cl
1 3 2 6
Direct
0.0000 0.0000 0.0000
0.0000 0.0000 0.5000
0.3343 0.3343 0.1786
0.6657 0.6657 0.8214
0.3266 0.3266 0.6622
0.6734 0.6734 0.3378
0.1701 0.1701 0.0855
0.1838 0.1838 0.5749
0.4695 0.4695 0.7359
0.5305 0.5305 0.2641
0.8162 0.8162 0.4251
0.8299 0.8299 0.9145
```


Record 3
## K2Tl3AgCl6 (GGA-PBE)

Data for K2Tl3AgCl6 after structural relaxation.

Computed properties:
Space-group type = C2/m, No. 12
Formation energy from raw total energies = -1218 meV per atom
Crystal system = monoclinic

The structure in POSCAR format:
```
K2Tl3AgCl6
1.0
3.8622 -6.5801 0.0000
3.8622 6.5801 0.0000
-2.6119 0.0000 7.3796
K Tl Ag Cl
2 3 1 6
Direct
0.1648 0.8352 0.0000
0.8352 0.1648 0.0000
0.0000 0.0000 0.5000
0.3308 0.6692 0.5000
0.6692 0.3308 0.5000
0.5000 0.5000 0.0000
0.1267 0.4288 0.7803
0.2629 0.2629 0.2492
0.4288 0.1267 0.7803
0.5712 0.8733 0.2197
0.7371 0.7371 0.7508
0.8733 0.5712 0.2197
```